Record 1
Material: Be2PSe
Method: DFT, GGA-PBE
State: optimized geometry

The structure belongs to space group Pmm2 (No. 25); the cell edges are 3.265, 3.507 and 6.708 Å and the angles 90.00°, 90.00° and 90.00°. Symmetry generates all atoms from Be at (0.000, 0.000, 0.000), Be at (0.500, 0.500, 0.030), P at (0.500, 0.000, 0.232) and Se at (0.000, 0.500, 0.797).

Its density of states at the Fermi level is 0.172 states/eV per cell. The value obtained for the energy above the most stable polymorph in this dataset is 0.111 eV/atom. Its formation energy without anion corrections is -0.229 eV/atom. As for the uncorrected energy: -17.26 eV per formula unit.

=====

Record 2
Material: LaPr2Er5Tm
Method: DFT, GGA-PBE
State: optimized geometry

The structure belongs to space group I4/mcm (No. 140); the cell edges are 8.728, 8.728 and 15.552 Å and the angles 90.00°, 90.00° and 90.00°. Symmetry generates all atoms from La at (0.000, 0.000, 0.250), Pr at (0.118, 0.382, 0.000), Er at (0.000, 0.000, 0.000), Er at (0.210, 0.290, 0.362) and Tm at (0.000, 0.500, 0.250).

Its density of states at the Fermi level is 41.055 states/eV per cell. For the formation energy, the calculation gives 2.38 eV/f.u. As for the uncorrected energy: -39.40 eV per formula unit.

=====

Record 3
Material: Na4P
Method: DFT, GGA-PBE
State: optimized geometry

The structure belongs to space group Pm-3m (No. 221); the cell edges are 5.528, 5.528 and 5.528 Å and the angles 90.00°, 90.00° and 90.00°. Symmetry generates all atoms from Na at (0.000, 0.000, 0.000), Na at (0.000, 0.500, 0.500) and P at (0.500, 0.500, 0.500).

Its density of states at the Fermi level is 2.863 states/eV per cell. For the formation energy, the calculation gives -0.55 eV/f.u. As for the uncorrected energy: -11.23 eV per formula unit.

=====

Record 4
Material: Ce2Pr4Pb3N2
Method: DFT, GGA-PBE
State: optimized geometry

The structure belongs to space group I4/mmm (No. 139); the cell edges are 4.954, 4.954 and 26.146 Å and the angles 90.00°, 90.00° and 90.00°. Symmetry generates all atoms from Ce at (0.000, 0.000, 0.192), Pr at (0.000, 0.500, 0.084), Pb at (0.000, 0.000, 0.321), Pb at (0.000, 0.000, 0.500) and N at (0.000, 0.000, 0.109).

Its density of states at the Fermi level is 28.895 states/eV per cell. Its formation energy without anion corrections is -0.792 eV/atom. As for the uncorrected energy: -67.47 eV per formula unit.

=====

Record 5
Material: AsOsRu2
Method: DFT, GGA-PBE
State: optimized geometry

The structure belongs to space group R3m (No. 160, hexagonal axes); the cell edges are 2.8238, 2.8238 and 25.0848 Å and the angles 90.00°, 90.00° and 120.00°. Symmetry generates all atoms from As at (0.0000, 0.0000, 0.0000), Os at (0.0000, 0.0000, 0.7501), Ru at (0.0000, 0.0000, 0.2551) and Ru at (0.0000, 0.0000, 0.5010).

Its density of states at the Fermi level is 12.059 states/eV per cell. For the formation energy, the calculation gives 1.05 eV/f.u. As for the uncorrected energy: -33.38 eV per formula unit.

=====

Record 6
Material: ScAsIrBr2
Method: DFT, GGA-PBE
State: optimized geometry

The structure belongs to space group P4/mmm (No. 123); the cell edges are 5.180, 5.180 and 4.742 Å and the angles 90.00°, 90.00° and 90.00°. Symmetry generates all atoms from Sc at (0.000, 0.000, 0.000), As at (0.500, 0.500, 0.000), Ir at (0.500, 0.500, 0.500) and Br at (0.000, 0.500, 0.500).

Its density of states at the Fermi level is 5.190 states/eV per cell. The value obtained for the energy above the most stable polymorph in this dataset is 0.000 eV/atom. Its formation energy without anion corrections is 0.218 eV/atom. As for the uncorrected energy: -22.10 eV per formula unit.

=====

Record 7
Material: Li2AlRe
Method: DFT, GGA-PBE
State: optimized geometry

The structure belongs to space group I-4m2 (No. 119); the cell edges are 3.942, 3.942 and 7.077 Å and the angles 90.00°, 90.00° and 90.00°. Symmetry generates all atoms from Li at (0.000, 0.000, 0.000), Li at (0.000, 0.500, 0.250), Al at (0.000, 0.000, 0.500) and Re at (0.000, 0.500, 0.750).

Its density of states at the Fermi level is 4.105 states/eV per cell. For the formation energy, the calculation gives 1.11 eV/f.u. As for the uncorrected energy: -18.91 eV per formula unit.

=====

Record 8
Material: RbMnBeTl2
Method: DFT, GGA-PBE
State: optimized geometry

The structure belongs to space group P4/mmm (No. 123); the cell edges are 5.299, 5.299 and 4.649 Å and the angles 90.00°, 90.00° and 90.00°. Symmetry generates all atoms from Rb at (0.000, 0.000, 0.000), Mn at (0.500, 0.500, 0.500), Be at (0.500, 0.500, 0.000) and Tl at (0.000, 0.500, 0.500).

Its density of states at the Fermi level is 3.286 states/eV per cell. For the formation energy, the calculation gives 2.42 eV/f.u. As for the uncorrected energy: -16.17 eV per formula unit.